Entry 1:
# Na2InBiF | Alexandria via LeMat-Bulk | GGA-PBE | optimized geometry
data_Na2InBiF
_symmetry_space_group_name_H-M 'P 4/m m m'
_symmetry_Int_Tables_number 123
_symmetry_space_group_name_Hall '-P 4 2'
_cell_length_a 4.626
_cell_length_b 4.626
_cell_length_c 5.478
_cell_angle_alpha 90.00
_cell_angle_beta 90.00
_cell_angle_gamma 90.00
loop_
_atom_site_label
_atom_site_fract_x
_atom_site_fract_y
_atom_site_fract_z
Na1 0.000 0.500 0.000
In1 0.000 0.000 0.500
Bi1 0.500 0.500 0.500
F1 0.000 0.000 0.000
# ΔE_f (raw): -1.094 eV per atom
# Fermi-level density of states: 0.5 states/eV/cell
# total moment: 0.0 μB per cell



Entry 2:
# Fe3PbBr12 | Alexandria via LeMat-Bulk | GGA-PBE | optimized geometry
data_Fe3PbBr12
_symmetry_space_group_name_H-M 'R 3 c'
_symmetry_Int_Tables_number 161
_symmetry_space_group_name_Hall 'R 3 -2"c'
_cell_length_a 12.0425
_cell_length_b 12.0425
_cell_length_c 37.6935
_cell_angle_alpha 90.00
_cell_angle_beta 90.00
_cell_angle_gamma 120.00
loop_
_atom_site_label
_atom_site_fract_x
_atom_site_fract_y
_atom_site_fract_z
Fe1 0.0079 0.3197 0.0000
Pb1 0.0000 0.0000 0.0109
Br1 0.0376 0.1999 0.6383
Br2 0.0637 0.1979 0.3472
Br3 0.0956 0.5428 0.6305
Br4 0.1436 0.4264 0.7189
# ΔE_f (raw): -0.506 eV per atom
# Fermi-level density of states: 60.8 states/eV/cell
# total moment: 84.0 μB per cell



Entry 3:
# LiScU2S4 | Alexandria via LeMat-Bulk | GGA-PBE | optimized geometry
data_LiScU2S4
_symmetry_space_group_name_H-M 'P 1 2/m 1'
_symmetry_Int_Tables_number 10
_cell_length_a 6.463
_cell_length_b 3.722
_cell_length_c 6.747
_cell_angle_alpha 90.00
_cell_angle_beta 108.49
_cell_angle_gamma 90.00
loop_
_symmetry_equiv_pos_as_xyz
'x,y,z'
'-x,-y,-z'
'-x,y,-z'
'x,-y,z'
loop_
_atom_site_label
_atom_site_fract_x
_atom_site_fract_y
_atom_site_fract_z
Li1 0.000 0.000 0.000
Sc1 0.500 0.500 0.000
U1 0.000 0.500 0.500
U2 0.500 0.000 0.500
S1 0.243 0.500 0.230
S2 0.255 0.000 0.771
# ΔE_f (raw): -1.500 eV per atom
# Fermi-level density of states: 7.6 states/eV/cell
# total moment: 5.5 μB per cell